(1)
TmPuAgIr GGA-PBE optimized geometry; space-group type = F-43m, No. 216; formation enthalpy at 0 K = -0.37 eV per atom
1.0
0.000 3.505 3.505
3.505 0.000 3.505
3.505 3.505 0.000
Tm Pu Ag Ir
1 1 1 1
Cartesian
0.000 0.000 0.000 Tm
3.505 3.505 3.505 Pu
5.258 5.258 5.258 Ag
1.753 1.753 1.753 Ir


(2)
AlCd2InHg8 GGA-PBE optimized geometry; space-group type = P-3m1, No. 164; formation enthalpy at 0 K = 0.09 eV per atom
1.0
6.545 0.000 0.000
-3.272 5.668 0.000
0.000 0.000 8.479
Al Cd In Hg
1 2 1 8
Cartesian
0.000 0.000 0.000 Al
0.000 3.778 7.684 Cd
3.272 1.889 0.795 Cd
0.000 0.000 4.240 In
0.000 2.002 1.920 Hg
-1.539 4.667 1.920 Hg
0.000 3.778 4.702 Hg
1.734 1.001 6.560 Hg
1.539 4.667 1.920 Hg
3.272 1.889 3.777 Hg
4.811 1.001 6.560 Hg
3.272 3.666 6.560 Hg


(3)
Pa2Ni15Au2 GGA-PBE optimized geometry; space-group type = R-3m, No. 166; formation enthalpy at 0 K = -0.07 eV per atom
1.0
4.233 2.444 4.139
-4.233 2.444 4.139
0.000 -4.888 4.139
Pa Ni Au
2 15 2
Cartesian
0.000 0.000 1.703 Pa
0.000 0.000 10.715 Pa
-4.233 0.000 6.209 Ni
-1.365 -2.525 4.139 Ni
-2.117 1.222 2.070 Ni
-2.869 0.081 4.139 Ni
-2.056 -1.187 6.176 Ni
1.365 -2.525 4.139 Ni
-1.504 2.444 4.139 Ni
0.000 -2.374 6.241 Ni
-2.056 1.187 6.241 Ni
2.117 1.222 2.070 Ni
2.056 -1.187 6.176 Ni
0.000 2.374 6.176 Ni
2.869 0.081 4.139 Ni
1.504 2.444 4.139 Ni
2.056 1.187 6.241 Ni
0.000 0.000 4.683 Au
0.000 0.000 7.735 Au


(4)
Al2BF GGA-PBE optimized geometry; space-group type = Fm-3m, No. 225; formation energy from raw total energies = -0.397 eV per atom; ΔE to the lowest computed polymorph = 255.1 meV per atom
1.0
0.000 2.807 2.807
2.807 0.000 2.807
2.807 2.807 0.000
Al B F
2 1 1
Cartesian
1.403 1.403 1.403 Al
4.210 4.210 4.210 Al
0.000 0.000 0.000 B
2.807 2.807 2.807 F


Repeat the fourth record exactly.
Al2BF GGA-PBE optimized geometry; space-group type = Fm-3m, No. 225; formation energy from raw total energies = -0.397 eV per atom; ΔE to the lowest computed polymorph = 255.1 meV per atom
1.0
0.000 2.807 2.807
2.807 0.000 2.807
2.807 2.807 0.000
Al B F
2 1 1
Cartesian
1.403 1.403 1.403 Al
4.210 4.210 4.210 Al
0.000 0.000 0.000 B
2.807 2.807 2.807 F